A geometry-optimized NaTa3B structure. Source: the Alexandria database, functional PBE-GGA.

a b c (Å): 4.4460 4.4460 4.4460
angles (deg): 90.00 90.00 90.00
Closest atoms and distances in Å follow each position.
Positions (direct):
Ta 0.0000 0.0000 0.5000  2 B 2.22
Ta 0.0000 0.5000 0.0000  2 B 2.22
Ta 0.5000 0.0000 0.0000  2 B 2.22
Na 0.5000 0.5000 0.5000  12 Ta 3.14
B 0.0000 0.0000 0.0000  6 Ta 2.22

Crystal system: cubic
Relative energy among the computed polymorphs (meV per atom): 0
Volume (Å³/cell): 88
Size of the total moment (μB/f.u.): 0.0
E_form (eV per formula unit): 2.63